(1)
Here is a relaxed structure of Dy6Hg3O from the Alexandria database. Energies are from PBE-GGA.

The structure belongs to space group P2_1/c (No. 14); the cell edges are 6.440, 7.941 and 11.682 Å and the angles 90.00°, 120.71° and 90.00°. The asymmetric unit holds Dy at (0.067, 0.053, 0.225), Dy at (0.187, 0.722, 0.065), Dy at (0.381, 0.145, 0.052), Hg at (0.316, 0.114, 0.733), Hg at (0.500, 0.000, 0.500) and O at (0.000, 0.000, 0.000).

As for the formation energy (no corrections): -0.772 eV per atom.

=====

(2)
Here is a relaxed structure of Dy4Hg2O from the Alexandria database. Energies are from PBE-GGA.

The structure belongs to space group P2_1/m (No. 11); the cell edges are 6.614, 6.929 and 8.234 Å and the angles 90.00°, 106.73° and 90.00°. The asymmetric unit holds Dy at (0.023, 0.005, 0.272), Dy at (0.369, 0.750, 0.064), Dy at (0.424, 0.750, 0.631), Hg at (0.213, 0.250, 0.029), Hg at (0.281, 0.250, 0.595) and O at (0.208, 0.750, 0.792).

As for the formation energy (no corrections): -1.097 eV per atom.

=====

(3)
Here is a relaxed structure of Dy5Hg2O from the Alexandria database. Energies are from PBE-GGA.

The structure belongs to space group Cmcm (No. 63); the cell edges are 3.662, 20.008 and 12.754 Å and the angles 90.00°, 90.00° and 90.00°. The asymmetric unit holds Dy at (0.000, 0.076, 0.104), Dy at (0.000, 0.301, 0.750), Dy at (0.000, 0.315, 0.054), Hg at (0.000, 0.074, 0.640) and O at (0.000, 0.133, 0.250).

As for the formation energy (no corrections): -0.734 eV per atom.

=====

(4)
Here is a relaxed structure of Dy2HgO from the Alexandria database. Energies are from PBE-GGA.

The structure belongs to space group R-3m (No. 166, hexagonal axes); the cell edges are 3.5742, 3.5742 and 22.2867 Å and the angles 90.00°, 90.00° and 120.00°. The asymmetric unit holds Dy at (0.0000, 0.0000, 0.2259), Hg at (0.0000, 0.0000, 0.0000) and O at (0.0000, 0.0000, 0.5000).

Its excess energy over the best structure of this formula in the dataset is 0 meV per atom. As for the formation energy (no corrections): -1.552 eV per atom.

=====

(5)
Here is a relaxed structure of Dy3Hg5O12 from the Alexandria database. Energies are from PBE-GGA.

The structure belongs to space group Ia-3d (No. 230); the cell edges are 13.346, 13.346 and 13.346 Å and the angles 90.00°, 90.00° and 90.00°. The asymmetric unit holds Dy at (0.000, 0.250, 0.125), Hg at (0.000, 0.000, 0.000), Hg at (0.000, 0.250, 0.375) and O at (0.011, 0.070, 0.654).

As for the formation energy (no corrections): -1.226 eV per atom.

=====

(6)
Here is a relaxed structure of Dy2HgO from the Alexandria database. Energies are from PBE-GGA.

The structure belongs to space group Cmmm (No. 65); the cell edges are 7.654, 10.306 and 4.467 Å and the angles 90.00°, 90.00° and 90.00°. The asymmetric unit holds Dy at (0.000, 0.000, 0.000), Dy at (0.000, 0.500, 0.500), Dy at (0.250, 0.250, 0.000), Hg at (0.000, 0.205, 0.500) and O at (0.202, 0.500, 0.000).

Its excess energy over the best structure of this formula in the dataset is 205 meV per atom. As for the formation energy (no corrections): -1.347 eV per atom.

=====

(7)
Here is a relaxed structure of DyHgO3 from the Alexandria database. Energies are from PBE-GGA.

The structure belongs to space group Cmcm (No. 63); the cell edges are 3.614, 14.424 and 5.795 Å and the angles 90.00°, 90.00° and 90.00°. The asymmetric unit holds Dy at (0.000, 0.195, 0.250), Hg at (0.000, 0.443, 0.250), O at (0.000, 0.032, 0.250) and O at (0.000, 0.323, 0.501).

As for the formation energy (no corrections): -1.682 eV per atom.

=====

(8)
Here is a relaxed structure of Dy5Hg2O2 from the Alexandria database. Energies are from PBE-GGA.

The structure belongs to space group Imma (No. 74); the cell edges are 6.796, 17.832 and 6.872 Å and the angles 90.00°, 90.00° and 90.00°. The asymmetric unit holds Dy at (0.000, 0.137, 0.086), Dy at (0.250, 0.019, 0.750), Dy at (0.250, 0.250, 0.750), Hg at (0.000, 0.128, 0.515), O at (0.000, 0.000, 0.000) and O at (0.000, 0.250, 0.968).

As for the formation energy (no corrections): -1.502 eV per atom.

=====

Size of the total moment
In order: 0.00 0.00 0.00 0.00 0.02 0.00 1.00 0.00
Unit: μB/f.u.